1.
First-principles (PBE) data for a relaxed YRu3C crystal, as listed in the Alexandria database.

a b c (Å): 5.046 5.736 5.993
angles (deg): 67.45 89.89 71.14
Fractional coordinates of all 10 atoms:
Y  0.000  0.000  0.000
Y  0.419  0.540  0.779
Ru  0.476  0.497  0.303
Ru  0.476  0.999  0.270
Ru  0.491  0.039  0.722
Ru  0.928  0.544  0.500
Ru  0.932  0.503  0.065
Ru  0.939  0.061  0.468
C  0.227  0.263  0.393
C  0.863  0.750  0.724

The formation energy is -0.039 eV per atom. As for the total moment: 0.00 μB per atom.



2.
First-principles (PBE) data for a relaxed Ho4B3SbRh12 crystal, as listed in the Alexandria database.

a b c (Å): 7.531 7.531 7.531
angles (deg): 109.47 109.47 109.47
Fractional coordinates of all 20 atoms:
Ho  0.000  0.000  0.500
Ho  0.000  0.500  0.000
Ho  0.500  0.000  0.000
Ho  0.500  0.500  0.500
B  0.000  0.500  0.500
B  0.500  0.000  0.500
B  0.500  0.500  0.000
Sb  0.000  0.000  0.000
Rh  0.000  0.277  0.277
Rh  0.000  0.723  0.723
Rh  0.250  0.500  0.750
Rh  0.250  0.750  0.500
Rh  0.277  0.000  0.277
Rh  0.277  0.277  0.000
Rh  0.500  0.250  0.750
Rh  0.500  0.750  0.250
Rh  0.723  0.000  0.723
Rh  0.723  0.723  0.000
Rh  0.750  0.250  0.500
Rh  0.750  0.500  0.250

For the energy relative to the elements, uncorrected, the calculation gives -0.61 eV/atom. As for the total moment: 0.00 μB per atom.



3.
First-principles (PBE) data for a relaxed HgSe2BrN crystal, as listed in the Alexandria database.

a b c (Å): 5.478 5.478 3.735
angles (deg): 90.00 90.00 90.00
Fractional coordinates of all 5 atoms:
Hg  0.000  0.000  0.000
Se  0.000  0.500  0.500
Se  0.500  0.000  0.500
Br  0.500  0.500  0.500
N  0.500  0.500  0.000

For the energy above the most stable polymorph in this dataset, the calculation gives 427 meV per atom. For the energy relative to the elements, uncorrected, the calculation gives 1.38 eV/atom. As for the total moment: 0.00 μB per atom.



4.
First-principles (PBE) data for a relaxed AlTeRh crystal, as listed in the Alexandria database.

a b c (Å): 4.064 4.064 4.374
angles (deg): 90.00 90.00 120.00
Fractional coordinates of all 3 atoms:
Al  0.000  0.000  0.000
Te  0.667  0.333  0.499
Rh  0.333  0.667  0.182

For the energy relative to the elements, uncorrected, the calculation gives -0.13 eV/atom. As for the total moment: 0.00 μB per atom.



5.
First-principles (PBE) data for a relaxed Sn2HgTe2 crystal, as listed in the Alexandria database.

a b c (Å): 8.783 8.783 4.054
angles (deg): 90.00 90.00 90.00
Fractional coordinates of all 10 atoms:
Sn  0.144  0.356  0.000
Sn  0.356  0.856  0.000
Sn  0.644  0.144  0.000
Sn  0.856  0.644  0.000
Hg  0.000  0.000  0.500
Hg  0.500  0.500  0.500
Te  0.152  0.652  0.500
Te  0.348  0.152  0.500
Te  0.652  0.848  0.500
Te  0.848  0.348  0.500

For the energy above the most stable polymorph in this dataset, the calculation gives 134 meV per atom. For the energy relative to the elements, uncorrected, the calculation gives -0.03 eV/atom. As for the total moment: 0.00 μB per atom.



6.
First-principles (PBE) data for a relaxed ErCu12Ge4 crystal, as listed in the Alexandria database.

a b c (Å): 7.145 7.145 7.145
angles (deg): 109.47 109.47 109.47
Fractional coordinates of all 17 atoms:
Er  0.000  0.000  0.000
Cu  0.149  0.503  0.354
Cu  0.149  0.795  0.646
Cu  0.205  0.354  0.851
Cu  0.354  0.149  0.503
Cu  0.354  0.851  0.205
Cu  0.497  0.646  0.851
Cu  0.503  0.354  0.149
Cu  0.646  0.149  0.795
Cu  0.646  0.851  0.497
Cu  0.795  0.646  0.149
Cu  0.851  0.205  0.354
Cu  0.851  0.497  0.646
Ge  0.000  0.000  0.500
Ge  0.000  0.500  0.000
Ge  0.500  0.000  0.000
Ge  0.500  0.500  0.500

The formation energy is 0.314 eV per atom. As for the total moment: 0.00 μB per atom.



7.
First-principles (PBE) data for a relaxed LiCeGe2Ir2 crystal, as listed in the Alexandria database.

a b c (Å): 4.311 4.311 6.591
angles (deg): 90.00 90.00 120.00
Fractional coordinates of all 6 atoms:
Li  0.000  0.000  0.000
Ce  0.000  0.000  0.500
Ge  0.333  0.667  0.815
Ge  0.667  0.333  0.185
Ir  0.333  0.667  0.216
Ir  0.667  0.333  0.784

The formation energy is -0.655 eV per atom. As for the total moment: 0.05 μB per atom.



8.
First-principles (PBE) data for a relaxed KRhAu3 crystal, as listed in the Alexandria database.

a b c (Å): 5.331 5.331 5.331
angles (deg): 90.00 90.00 90.00
Fractional coordinates of all 5 atoms:
K  0.000  0.000  0.000
Rh  0.500  0.500  0.500
Au  0.000  0.000  0.500
Au  0.000  0.500  0.000
Au  0.500  0.000  0.000

For the energy above the most stable polymorph in this dataset, the calculation gives 1425 meV per atom. The formation energy is 1.730 eV per atom. As for the total moment: 0.21 μB per atom.



9.
First-principles (PBE) data for a relaxed SrSiPd4 crystal, as listed in the Alexandria database.

a b c (Å): 7.923 3.887 7.188
angles (deg): 90.00 90.00 90.00
Fractional coordinates of all 12 atoms:
Sr  0.250  0.000  0.124
Sr  0.750  0.000  0.876
Si  0.250  0.000  0.688
Si  0.750  0.000  0.312
Pd  0.000  0.000  0.500
Pd  0.069  0.500  0.792
Pd  0.250  0.500  0.455
Pd  0.431  0.500  0.792
Pd  0.500  0.000  0.500
Pd  0.569  0.500  0.208
Pd  0.750  0.500  0.545
Pd  0.931  0.500  0.208

For the energy relative to the elements, uncorrected, the calculation gives -0.60 eV/atom. As for the total moment: 0.00 μB per atom.



10.
First-principles (PBE) data for a relaxed Tl8Te6As crystal, as listed in the Alexandria database.

a b c (Å): 9.540 11.888 9.799
angles (deg): 90.00 90.00 90.00
Fractional coordinates of all 30 atoms:
Tl  0.000  0.190  0.153
Tl  0.000  0.284  0.478
Tl  0.193  0.770  0.500
Tl  0.234  0.022  0.692
Tl  0.245  0.553  0.774
Tl  0.255  0.447  0.274
Tl  0.266  0.978  0.192
Tl  0.307  0.230  0.000
Tl  0.500  0.716  0.978
Tl  0.500  0.810  0.653
Tl  0.693  0.230  0.000
Tl  0.734  0.978  0.192
Tl  0.745  0.447  0.274
Tl  0.755  0.553  0.774
Tl  0.766  0.022  0.692
Tl  0.807  0.770  0.500
Te  0.000  0.460  0.992
Te  0.000  0.558  0.526
Te  0.000  0.991  0.428
Te  0.000  0.996  0.937
Te  0.226  0.708  0.184
Te  0.274  0.292  0.684
Te  0.500  0.004  0.437
Te  0.500  0.009  0.928
Te  0.500  0.442  0.026
Te  0.500  0.540  0.492
Te  0.726  0.292  0.684
Te  0.774  0.708  0.184
As  0.000  0.683  0.026
As  0.500  0.317  0.526

For the energy relative to the elements, uncorrected, the calculation gives -0.17 eV/atom. As for the total moment: 0.00 μB per atom.



11.
First-principles (PBE) data for a relaxed V2CdReB crystal, as listed in the Alexandria database.

a b c (Å): 4.729 4.729 4.160
angles (deg): 90.00 90.00 90.00
Fractional coordinates of all 5 atoms:
V  0.000  0.500  0.000
V  0.500  0.000  0.000
Cd  0.000  0.000  0.500
Re  0.500  0.500  0.000
B  0.500  0.500  0.500

The formation energy is 1.109 eV per atom. As for the total moment: 0.65 μB per atom.



12.
First-principles (PBE) data for a relaxed Pr3DyEr4 crystal, as listed in the Alexandria database.

a b c (Å): 8.937 8.937 8.937
angles (deg): 157.53 98.26 86.12
Fractional coordinates of all 8 atoms:
Pr  0.000  0.000  0.000
Pr  0.256  0.756  0.500
Pr  0.744  0.244  0.500
Dy  0.500  0.500  0.000
Er  0.120  0.365  0.755
Er  0.390  0.635  0.755
Er  0.610  0.365  0.245
Er  0.880  0.635  0.245

For the energy above the most stable polymorph in this dataset, the calculation gives 112 meV per atom. The formation energy is 0.138 eV per atom. As for the total moment: 0.00 μB per atom.



Number 10 is which compound?
Tl8Te6As



Among the records above, which one has the highest total moment?
V2CdReB